(1)
DFT (PBE) results for a geometry-optimized AcGe3Pd3 structure.

The structure in extended XYZ format:
```
14
Lattice="6.8515 0.0000 0.0000 0.0000 6.8515 0.0000 0.0000 0.0000 6.8515" Properties=species:S:1:pos:R:3 pbc="T T T"
Ac 0.0000 0.0000 0.0000
Ac 3.4257 3.4257 3.4257
Ge 0.0000 1.7129 3.4257
Ge 0.0000 5.1386 3.4257
Ge 1.7129 3.4257 0.0000
Ge 3.4257 0.0000 1.7129
Ge 3.4257 0.0000 5.1386
Ge 5.1386 3.4257 0.0000
Pd 0.0000 3.4257 1.7129
Pd 0.0000 3.4257 5.1386
Pd 1.7129 0.0000 3.4257
Pd 3.4257 1.7129 0.0000
Pd 3.4257 5.1386 0.0000
Pd 5.1386 0.0000 3.4257
```

## Properties
magnetic moment	0.000	μB/f.u.
raw total energy	-5.234	eV/atom
energy relative to the elements	-10.2	kcal/mol of atoms

(2)
DFT (PBE) results for a geometry-optimized Ac3Ge4Pd2 structure.

The structure in extended XYZ format:
```
9
Lattice="5.9152 -2.2201 0.0000 5.9152 2.2201 0.0000 -1.6023 0.0000 8.6875" Properties=species:S:1:pos:R:3 pbc="T T T"
Ac 0.0000 0.0000 0.0000
Ac 3.4110 0.0000 2.9290
Ac 6.8171 0.0000 5.7585
Ge 0.0102 0.0000 3.3456
Ge 1.7697 0.0000 8.1119
Ge 8.4584 0.0000 0.5756
Ge 10.2180 0.0000 5.3419
Pd 3.4964 0.0000 6.2699
Pd 6.7318 0.0000 2.4176
```

## Properties
magnetic moment	0.000	μB/f.u.
raw total energy	-5.440	eV/atom
energy relative to the elements	-19.9	kcal/mol of atoms

(3)
DFT (PBE) results for a geometry-optimized Ac4GePd2 structure.

The structure in extended XYZ format:
```
14
Lattice="0.0000 6.9255 4.7081 6.8947 0.0000 4.7081 6.8947 6.9255 0.0000" Properties=species:S:1:pos:R:3 pbc="T T T"
Ac 1.6650 0.9198 1.2846
Ac 5.2296 6.0057 1.2846
Ac 5.1124 2.5429 3.6386
Ac 7.7906 5.2401 4.7081
Ac 1.7823 4.3825 3.6386
Ac 5.9988 8.6108 4.7081
Ac 9.4461 8.7029 7.0621
Ac 11.2379 12.0735 7.0621
Ge 3.4473 3.4627 0.6404
Ge 6.8947 6.9255 7.7026
Pd 9.3531 7.9042 4.1734
Pd 12.8004 9.4094 6.5275
Pd 4.4363 5.9467 4.1734
Pd 7.8836 11.3669 6.5275
```

## Properties
magnetic moment	0.000	μB/f.u.
raw total energy	-5.124	eV/atom
energy relative to the elements	-14.6	kcal/mol of atoms

(4)
DFT (PBE) results for a geometry-optimized AcGe12Pd4 structure.

The structure in extended XYZ format:
```
17
Lattice="-4.3796 4.3796 4.3796 4.3796 -4.3796 4.3796 4.3796 4.3796 -4.3796" Properties=species:S:1:pos:R:3 pbc="T T T"
Ac 0.0000 0.0000 0.0000
Ge 3.1255 1.3380 0.0000
Ge 5.6338 1.3380 0.0000
Ge 4.3796 -1.2541 3.0417
Ge 3.0417 4.3796 -1.2541
Ge 1.3380 0.0000 3.1255
Ge 4.3796 1.2541 3.0417
Ge 0.0000 3.1255 1.3380
Ge 3.0417 4.3796 1.2541
Ge 1.3380 0.0000 5.6338
Ge 0.0000 5.6338 1.3380
Ge -1.2541 3.0417 4.3796
Ge 1.2541 3.0417 4.3796
Pd 2.1898 2.1898 -2.1898
Pd 2.1898 -2.1898 2.1898
Pd -2.1898 2.1898 2.1898
Pd 2.1898 2.1898 2.1898
```

## Properties
magnetic moment	0.000	μB/f.u.
raw total energy	-5.025	eV/atom
energy relative to the elements	-7.0	kcal/mol of atoms

(5)
DFT (PBE) results for a geometry-optimized Ac2GePd2 structure.

The structure in extended XYZ format:
```
5
Lattice="-2.3424 2.9748 4.4863 2.3424 -2.9748 4.4863 2.3424 2.9748 -4.4863" Properties=species:S:1:pos:R:3 pbc="T T T"
Ac 0.0000 0.0000 1.8190
Ac 0.0000 0.0000 7.1537
Ge 0.0000 2.9748 0.0000
Pd 2.3424 1.4075 0.0000
Pd 0.0000 1.5673 4.4863
```

## Properties
magnetic moment	0.000	μB/f.u.
raw total energy	-5.431	eV/atom
energy relative to the elements	-18.1	kcal/mol of atoms

(6)
DFT (PBE) results for a geometry-optimized Ac2GePd2 structure.

The structure in extended XYZ format:
```
10
Lattice="5.7971 -2.2039 0.0000 5.7971 2.2039 0.0000 -5.3333 0.0000 10.4812" Properties=species:S:1:pos:R:3 pbc="T T T"
Ac -1.0668 0.0000 4.1384
Ac -1.0294 0.0000 9.0344
Ac 7.2904 0.0000 1.4468
Ac 7.3277 0.0000 6.3428
Ge 3.9236 0.0000 1.8721
Ge 2.3373 0.0000 8.6091
Pd -4.3540 0.0000 9.5086
Pd 2.2684 0.0000 3.9987
Pd 3.9926 0.0000 6.4826
Pd 10.6150 0.0000 0.9726
```

## Properties
magnetic moment	0.000	μB/f.u.
raw total energy	-5.448	eV/atom
energy relative to the elements	-18.5	kcal/mol of atoms

(7)
DFT (PBE) results for a geometry-optimized Ac2Ge3Pd6 structure.

The structure in extended XYZ format:
```
11
Lattice="7.6097 0.0000 0.0000 -3.8049 6.5902 0.0000 0.0000 0.0000 4.5304" Properties=species:S:1:pos:R:3 pbc="T T T"
Ac 0.0000 4.3935 0.0000
Ac 3.8049 2.1967 0.0000
Ge -2.4482 4.2405 2.2652
Ge 1.3566 2.3497 2.2652
Ge 4.8965 0.0000 2.2652
Pd -1.1665 2.0205 2.2652
Pd -3.0118 5.2166 0.0000
Pd 0.7930 1.3736 0.0000
Pd 2.3331 0.0000 2.2652
Pd 2.6383 4.5697 2.2652
Pd 6.0236 0.0000 0.0000
```

## Properties
magnetic moment	0.000	μB/f.u.
raw total energy	-5.563	eV/atom
energy relative to the elements	-16.7	kcal/mol of atoms

(8)
DFT (PBE) results for a geometry-optimized Ac3Ge2Pd3 structure.

The structure in extended XYZ format:
```
16
Lattice="2.2632 -5.5353 0.0000 2.2632 5.5353 0.0000 0.0000 0.0000 16.9339" Properties=species:S:1:pos:R:3 pbc="T T T"
Ac 2.2632 4.8280 12.7004
Ac 2.2632 1.5016 9.8503
Ac 2.2632 1.5016 15.5506
Ac 2.2632 -1.5016 1.3834
Ac 2.2632 -1.5016 7.0836
Ac 2.2632 -4.8280 4.2335
Ge 2.2632 1.7199 2.0236
Ge 2.2632 1.7199 6.4433
Ge 2.2632 -1.7199 10.4906
Ge 2.2632 -1.7199 14.9103
Pd 2.2632 4.6301 9.5132
Pd 2.2632 4.6301 15.8877
Pd 2.2632 3.0749 4.2335
Pd 2.2632 -3.0749 12.7004
Pd 2.2632 -4.6301 1.0462
Pd 2.2632 -4.6301 7.4208
```

## Properties
magnetic moment	0.000	μB/f.u.
raw total energy	-5.462	eV/atom
energy relative to the elements	-18.9	kcal/mol of atoms